! PBE CoHOs, optimized geometry; values from VASP
! - total energy (eV per atom) = -6.851
! - E above lowest polymorph (eV per formula unit) = 0.582
&SYSTEM
  ibrav = 0, nat = 12, ntyp = 3
/
ATOMIC_SPECIES
Co 58.93 Co.upf
H 1.01 H.upf
Os 190.23 Os.upf
ATOMIC_POSITIONS angstrom
Co 0.0000 0.0000 0.0000
Co 0.0000 2.5820 0.0000
Co 2.2135 0.0000 2.4507
Co 2.2135 2.5820 2.4507
H 0.7170 1.2910 0.8942
H 1.4965 3.8731 3.3449
H 2.9305 1.2910 1.5565
H 3.7100 3.8731 4.0072
Os 4.4249 1.2910 2.7666
Os 0.0021 3.8731 2.1348
Os 2.2114 1.2910 4.5855
Os 2.2156 3.8731 0.3159
CELL_PARAMETERS angstrom
4.4270 0.0000 0.0000
0.0000 5.1641 0.0000
0.0000 0.0000 4.9014

! PBE CoHOs, optimized geometry; values from VASP
! - total energy (eV per atom) = -7.015
! - E above lowest polymorph (eV per formula unit) = 0.091
&SYSTEM
  ibrav = 0, nat = 9, ntyp = 3
/
ATOMIC_SPECIES
Co 58.93 Co.upf
H 1.01 H.upf
Os 190.23 Os.upf
ATOMIC_POSITIONS angstrom
Co 0.0000 0.0000 0.0000
Co 0.0000 1.5593 8.8915
Co 1.3504 0.7796 4.4457
H 0.0000 0.0000 5.0711
H 0.0000 1.5593 0.6254
H 1.3504 0.7796 9.5169
Os 0.0000 0.0000 6.8727
Os 0.0000 1.5593 2.4270
Os 1.3504 0.7796 11.3185
CELL_PARAMETERS angstrom
2.7007 0.0000 0.0000
-1.3504 2.3389 0.0000
0.0000 0.0000 13.3372

! PBE Co2HOs2, optimized geometry; values from VASP
! - total energy (eV per atom) = -6.756
! - E above lowest polymorph (eV per formula unit) = 1.503
&SYSTEM
  ibrav = 0, nat = 10, ntyp = 3
/
ATOMIC_SPECIES
Co 58.93 Co.upf
H 1.01 H.upf
Os 190.23 Os.upf
ATOMIC_POSITIONS angstrom
Co 0.0000 0.0000 1.0785
Co 0.0000 0.0000 9.9693
Co 1.7967 1.7967 4.4454
Co 1.7967 1.7967 6.6023
H 0.0000 0.0000 5.5239
H 1.7967 1.7967 0.0000
Os 0.0000 1.7967 2.7619
Os 0.0000 1.7967 8.2858
Os 1.7967 0.0000 2.7619
Os 1.7967 0.0000 8.2858
CELL_PARAMETERS angstrom
3.5935 0.0000 0.0000
0.0000 3.5935 0.0000
0.0000 0.0000 11.0477

! PBE CoH3Os, optimized geometry; values from VASP
! - total energy (eV per atom) = -5.160
! - E above lowest polymorph (eV per formula unit) = 0.000
&SYSTEM
  ibrav = 0, nat = 5, ntyp = 3
/
ATOMIC_SPECIES
Co 58.93 Co.upf
H 1.01 H.upf
Os 190.23 Os.upf
ATOMIC_POSITIONS angstrom
Co 0.0000 0.0000 0.0000
H 0.0000 0.0000 1.5953
H 0.0000 1.5953 0.0000
H 1.5953 0.0000 0.0000
Os 1.5953 1.5953 1.5953
CELL_PARAMETERS angstrom
3.1906 0.0000 0.0000
0.0000 3.1906 0.0000
0.0000 0.0000 3.1906

! PBE CoHOs, optimized geometry; values from VASP
! - total energy (eV per atom) = -6.912
! - E above lowest polymorph (eV per formula unit) = 0.399
&SYSTEM
  ibrav = 0, nat = 3, ntyp = 3
/
ATOMIC_SPECIES
Co 58.93 Co.upf
H 1.01 H.upf
Os 190.23 Os.upf
ATOMIC_POSITIONS angstrom
Co 0.0000 0.0000 0.0000
H 1.3403 0.0000 0.9855
Os 1.3403 1.3461 2.2288
CELL_PARAMETERS angstrom
2.6806 0.0000 0.0000
0.0000 2.6922 0.0000
0.0000 0.0000 3.9149

! PBE CoHOs, optimized geometry; values from VASP
! - total energy (eV per atom) = -7.045
! - E above lowest polymorph (eV per formula unit) = 0.000
&SYSTEM
  ibrav = 0, nat = 6, ntyp = 3
/
ATOMIC_SPECIES
Co 58.93 Co.upf
H 1.01 H.upf
Os 190.23 Os.upf
ATOMIC_POSITIONS angstrom
Co 0.6674 1.0135 1.9522
Co 2.0194 3.3015 2.6566
H 0.6686 2.3283 3.2438
H 2.0183 1.9867 1.3651
Os 0.6720 3.3108 0.4087
Os 2.0149 1.0042 4.2001
CELL_PARAMETERS angstrom
2.7018 0.0000 0.0000
-0.0041 4.3582 0.0000
-0.0108 -0.0431 4.6088

! PBE CoHOs3, optimized geometry; values from VASP
! - total energy (eV per atom) = -6.185
! - E above lowest polymorph (eV per formula unit) = 11.423
&SYSTEM
  ibrav = 0, nat = 5, ntyp = 3
/
ATOMIC_SPECIES
Co 58.93 Co.upf
H 1.01 H.upf
Os 190.23 Os.upf
ATOMIC_POSITIONS angstrom
Co 0.0000 0.0000 0.0000
H 2.2055 2.2055 2.2055
Os 0.0000 0.0000 2.2055
Os 0.0000 2.2055 0.0000
Os 2.2055 0.0000 0.0000
CELL_PARAMETERS angstrom
4.4111 0.0000 0.0000
0.0000 4.4111 0.0000
0.0000 0.0000 4.4111

! PBE CoRe2HOs, optimized geometry; values from VASP
! - total energy (eV per atom) = -9.174
&SYSTEM
  ibrav = 0, nat = 5, ntyp = 4
/
ATOMIC_SPECIES
Co 58.93 Co.upf
Re 186.21 Re.upf
H 1.01 H.upf
Os 190.23 Os.upf
ATOMIC_POSITIONS angstrom
Co 0.0000 0.0000 0.0000
Re 0.0000 1.9354 1.9000
Re 1.9354 0.0000 1.9000
H 0.0000 0.0000 1.9000
Os 1.9354 1.9354 0.0000
CELL_PARAMETERS angstrom
3.8709 0.0000 0.0000
0.0000 3.8709 0.0000
0.0000 0.0000 3.7999

What is the total energy in the eighth record? -9.174 eV per atom